No. 1
The following is a PBE calculation of a geometry-optimized CeZn5AgPd2 structure, from Alexandria via LeMat-Bulk.

## Properties
* Fermi-level density of states: 11.7 states/eV/cell
* symmetry: P4/mmm, No. 123

Lattice parameters (Å, degrees): 4.8535 4.8535 7.4214 90.00 90.00 90.00
Last column: nearest neighbours and their distance in Å.
Fractional coordinates of all 9 atoms:
Ce: 0.0000 0.0000 0.5000  12 Zn 3.28-3.43
Zn: 0.5000 0.0000 0.7978  2 Pd 2.43
Zn: 0.0000 0.5000 0.7978  2 Pd 2.43
Zn: 0.5000 0.0000 0.2022  2 Pd 2.43
Zn: 0.5000 0.5000 0.5000  2 Pd 2.39
Zn: 0.0000 0.5000 0.2022  2 Pd 2.43
Ag: 0.0000 0.0000 0.0000  8 Zn 2.85
Pd: 0.5000 0.5000 0.1786  5 Zn 2.39-2.43, 1 Pd 2.65
Pd: 0.5000 0.5000 0.8214  5 Zn 2.39-2.43, 1 Pd 2.65



No. 2
The following is a PBE calculation of a geometry-optimized CeZrAgPd structure, from Alexandria via LeMat-Bulk.

## Properties
* Fermi-level density of states: 8.0 states/eV/cell
* symmetry: F-43m, No. 216

Lattice parameters (Å, degrees): 4.9890 4.9890 4.9890 60.00 60.00 60.00
Last column: nearest neighbours and their distance in Å.
Fractional coordinates of all 4 atoms:
Ce: 0.0000 0.0000 0.0000  4 Pd 3.06, 4 Ag 3.06
Zr: 0.5000 0.5000 0.5000  4 Ag 3.06, 4 Pd 3.06
Pd: 0.7500 0.7500 0.7500  4 Zr 3.06, 4 Ce 3.06
Ag: 0.2500 0.2500 0.2500  4 Zr 3.06, 4 Ce 3.06



No. 3
The following is a PBE calculation of a geometry-optimized CePmAg structure, from Alexandria via LeMat-Bulk.

## Properties
* Fermi-level density of states: 5.7 states/eV/cell
* symmetry: P3m1, No. 156
* energy above the most stable polymorph in this dataset: 0.141 eV per atom

Lattice parameters (Å, degrees): 3.4948 5.0976 5.0976 120.00 90.00 90.00
Last column: nearest neighbours and their distance in Å.
Fractional coordinates of all 3 atoms:
Ag: 0.3344 0.3333 0.6667  3 Pm 3.15, 3 Ce 3.15, 2 Ag 3.49
Pm: 0.6532 0.6667 0.3333  3 Ag 3.15, 3 Ce 3.20, 2 Pm 3.49
Ce: 0.0124 0.0000 0.0000  3 Ag 3.15, 3 Pm 3.20, 2 Ce 3.49



No. 4
The following is a PBE calculation of a geometry-optimized Ce2PmAg structure, from Alexandria via LeMat-Bulk.

## Properties
* Fermi-level density of states: 11.9 states/eV/cell
* symmetry: P4/mmm, No. 123
* energy above the most stable polymorph in this dataset: 0.000 eV per atom

Lattice parameters (Å, degrees): 3.4895 3.4895 9.3595 90.00 90.00 90.00
Last column: nearest neighbours and their distance in Å.
Fractional coordinates of all 4 atoms:
Ce: 0.0000 0.0000 0.2228  4 Ag 3.23, 4 Ce 3.49, 4 Pm 3.58
Ce: 0.0000 0.0000 0.7772  4 Ag 3.23, 4 Ce 3.49, 4 Pm 3.58
Ag: 0.5000 0.5000 0.0000  8 Ce 3.23, 4 Ag 3.49
Pm: 0.5000 0.5000 0.5000  4 Pm 3.49, 8 Ce 3.58



No. 5
The following is a PBE calculation of a geometry-optimized Ce2PmAg6 structure, from Alexandria via LeMat-Bulk.

## Properties
* Fermi-level density of states: 15.3 states/eV/cell
* symmetry: P6/mmm, No. 191

Lattice parameters (Å, degrees): 3.2616 8.5215 8.5215 60.00 90.00 90.00
Last column: nearest neighbours and their distance in Å.
Fractional coordinates of all 9 atoms:
Ag: 0.5003 0.0000 0.3329  3 Ag 2.84-2.85
Ag: 0.5000 0.6671 0.3329  3 Ag 2.84-2.85
Ag: 0.4997 0.0000 0.6671  3 Ag 2.84-2.85
Ag: 0.4997 0.6671 0.0000  3 Ag 2.84-2.85
Ag: 0.5000 0.3329 0.6671  3 Ag 2.84-2.85
Ag: 0.5003 0.3329 0.0000  3 Ag 2.84-2.85
Ce: 0.0000 0.6667 0.6667  2 Ce 3.26, 12 Ag 3.28
Ce: 0.0000 0.3333 0.3333  2 Ce 3.26, 12 Ag 3.28
Pm: 0.0000 0.0000 0.0000  2 Pm 3.26, 12 Ag 3.27



No. 6
The following is a PBE calculation of a geometry-optimized CePm2Ag6 structure, from Alexandria via LeMat-Bulk.

## Properties
* Fermi-level density of states: 12.6 states/eV/cell
* symmetry: P6/mmm, No. 191
* energy above the most stable polymorph in this dataset: 0.000 eV per atom

Lattice parameters (Å, degrees): 3.3555 8.4560 8.4560 120.00 90.00 90.00
Last column: nearest neighbours and their distance in Å.
Fractional coordinates of all 9 atoms:
Ce: 0.0000 0.0000 0.0000  12 Ag 3.28, 2 Ce 3.36
Pm: 0.0000 0.6667 0.3333  12 Ag 3.28, 2 Pm 3.36
Pm: 0.0000 0.3333 0.6667  12 Ag 3.28, 2 Pm 3.36
Ag: 0.5000 0.3338 0.0000  3 Ag 2.81-2.82
Ag: 0.5000 0.6662 0.0000  3 Ag 2.81-2.82
Ag: 0.5000 0.0000 0.3338  3 Ag 2.81-2.82
Ag: 0.5000 0.6662 0.6662  3 Ag 2.81-2.82
Ag: 0.5000 0.3338 0.3338  3 Ag 2.81-2.82
Ag: 0.5000 0.0000 0.6662  3 Ag 2.81-2.82



No. 7
The following is a PBE calculation of a geometry-optimized CePmAg structure, from Alexandria via LeMat-Bulk.

## Properties
* Fermi-level density of states: 11.8 states/eV/cell
* symmetry: Cmcm, No. 63
* energy above the most stable polymorph in this dataset: 0.000 eV per atom

Lattice parameters (Å, degrees): 3.5168 5.4335 8.7015 90.00 101.66 90.00
Last column: nearest neighbours and their distance in Å.
Fractional coordinates of all 6 atoms:
Ag: 0.5825 0.7500 0.1650  2 Ce 3.15, 6 Pm 3.24-3.26, 2 Ag 3.52
Ag: 0.4175 0.2500 0.8350  2 Ce 3.15, 6 Pm 3.24-3.26, 2 Ag 3.52
Ce: 0.7640 0.2500 0.5281  2 Ag 3.15, 6 Ce 3.27-3.52
Ce: 0.2360 0.7500 0.4719  2 Ag 3.15, 6 Ce 3.27-3.52
Pm: 0.0788 0.2500 0.1577  6 Ag 3.24-3.26, 2 Pm 3.52, 2 Ce 3.61
Pm: 0.9212 0.7500 0.8423  6 Ag 3.24-3.26, 2 Pm 3.52, 2 Ce 3.61



No. 8
The following is a PBE calculation of a geometry-optimized CePmAg4 structure, from Alexandria via LeMat-Bulk.

## Properties
* Fermi-level density of states: 8.7 states/eV/cell
* symmetry: F-43m, No. 216
* energy above the most stable polymorph in this dataset: 0.097 eV per atom

Lattice parameters (Å, degrees): 5.7659 5.7659 5.7659 60.00 60.00 60.00
Last column: nearest neighbours and their distance in Å.
Fractional coordinates of all 6 atoms:
Ag: 0.6249 0.6249 0.1254  6 Ag 2.88-2.89
Ag: 0.1254 0.6249 0.6249  6 Ag 2.88-2.89
Ag: 0.6249 0.1254 0.6249  6 Ag 2.88-2.89
Ag: 0.6249 0.6249 0.6249  6 Ag 2.88-2.89
Pm: 0.2500 0.2500 0.2500  12 Ag 3.38, 4 Ce 3.53
Ce: 0.0000 0.0000 0.0000  12 Ag 3.38, 4 Pm 3.53



No. 9
The following is a PBE calculation of a geometry-optimized CePmAg2 structure, from Alexandria via LeMat-Bulk.

## Properties
* Fermi-level density of states: 10.1 states/eV/cell
* symmetry: Fm-3m, No. 225
* energy above the most stable polymorph in this dataset: 0.009 eV per atom

Lattice parameters (Å, degrees): 5.2765 5.2765 5.2765 60.00 60.00 60.00
Last column: nearest neighbours and their distance in Å.
Fractional coordinates of all 4 atoms:
Ag: 0.7500 0.7500 0.7500  4 Ce 3.23, 4 Pm 3.23
Ag: 0.2500 0.2500 0.2500  4 Pm 3.23, 4 Ce 3.23
Ce: 0.0000 0.0000 0.0000  8 Ag 3.23
Pm: 0.5000 0.5000 0.5000  8 Ag 3.23



No. 10
The following is a PBE calculation of a geometry-optimized CePmAg4 structure, from Alexandria via LeMat-Bulk.

## Properties
* Fermi-level density of states: 19.3 states/eV/cell
* symmetry: Cmcm, No. 63
* energy above the most stable polymorph in this dataset: 0.000 eV per atom

Lattice parameters (Å, degrees): 4.9031 6.6209 9.1052 68.68 90.00 90.00
Last column: nearest neighbours and their distance in Å.
Fractional coordinates of all 12 atoms:
Ag: 0.2500 0.7935 0.4168  3 Ag 2.83
Ag: 0.2500 0.4581 0.0833  3 Ag 2.83
Ag: 0.7500 0.5419 0.9167  3 Ag 2.83
Ag: 0.2500 0.9586 0.0833  3 Ag 2.83
Ag: 0.7500 0.0414 0.9167  3 Ag 2.83
Ag: 0.2500 0.2898 0.4168  3 Ag 2.83
Ag: 0.7500 0.2065 0.5832  3 Ag 2.83
Ag: 0.7500 0.7103 0.5832  3 Ag 2.83
Pm: 0.2500 0.8749 0.7501  12 Ag 3.27-3.28, 2 Ce 3.31
Pm: 0.7500 0.1251 0.2499  12 Ag 3.27-3.28, 2 Ce 3.31
Ce: 0.2500 0.3750 0.7500  12 Ag 3.28-3.29, 2 Pm 3.31
Ce: 0.7500 0.6250 0.2500  12 Ag 3.28-3.29, 2 Pm 3.31



No. 11
The following is a PBE calculation of a geometry-optimized CePmAg structure, from Alexandria via LeMat-Bulk.

## Properties
* Fermi-level density of states: 6.4 states/eV/cell
* symmetry: I4mm, No. 107
* energy above the most stable polymorph in this dataset: 0.045 eV per atom

Lattice parameters (Å, degrees): 3.6481 3.6481 6.8911 105.35 105.35 90.00
Last column: nearest neighbours and their distance in Å.
Fractional coordinates of all 3 atoms:
Pm: 0.3161 0.3161 0.6322  4 Ag 3.20
Ce: 0.0155 0.0155 0.0311  4 Ag 3.24
Ag: 0.6684 0.6684 0.3367  4 Pm 3.20, 4 Ce 3.24



No. 12
The following is a PBE calculation of a geometry-optimized CePm2Ag5 structure, from Alexandria via LeMat-Bulk.

## Properties
* Fermi-level density of states: 12.7 states/eV/cell
* symmetry: I4/mmm, No. 139

Lattice parameters (Å, degrees): 5.1816 5.1816 8.1043 108.64 108.64 90.00
Last column: nearest neighbours and their distance in Å.
Fractional coordinates of all 8 atoms:
Ce: 0.0000 0.0000 0.0000  8 Ag 3.10
Ag: 0.5000 0.5000 0.0000  8 Ag 3.10, 2 Pm 3.34
Ag: 0.3824 0.8824 0.7648  4 Pm 3.07-3.39, 3 Ag 3.10-3.40, 2 Ce 3.10
Ag: 0.6176 0.1176 0.2352  4 Pm 3.07-3.39, 3 Ag 3.10-3.40, 2 Ce 3.10
Ag: 0.8824 0.3824 0.7648  4 Pm 3.07-3.39, 2 Ce 3.10, 3 Ag 3.10-3.40
Ag: 0.1176 0.6176 0.2352  4 Pm 3.07-3.39, 2 Ce 3.10, 3 Ag 3.10-3.40
Pm: 0.7310 0.7310 0.4620  9 Ag 3.07-3.39
Pm: 0.2690 0.2690 0.5380  9 Ag 3.07-3.39



Number 1: energy of formation -0.14 eV per atom. Number 2: energy of formation -0.21 eV per atom. Number 3: energy of formation 0.06 eV per atom. Number 4: energy of formation 0.06 eV per atom. Number 5: energy of formation -0.19 eV per atom. Number 6: energy of formation -0.22 eV per atom. Number 7: energy of formation -0.08 eV per atom. Number 8: energy of formation -0.10 eV per atom. Number 9: energy of formation -0.15 eV per atom. Number 10: energy of formation -0.20 eV per atom. Number 11: energy of formation -0.04 eV per atom. Number 12: energy of formation -0.14 eV per atom.